Entry from Alexandria via LeMat-Bulk: a geometry-optimized TcSnRu2C structure (GGA-PBE).

Results
The calculation puts the formation enthalpy at 0 K at 0.077 eV/atom. The calculation puts the calculated total energy at -8.352 eV per atom. Its crystal system is tetragonal.

CIF file:
```
data_TcSnRu2C
_chemical_formula_sum 'Tc1 Sn1 Ru2 C1'
_cell_length_a 4.099
_cell_length_b 4.099
_cell_length_c 4.149
_cell_angle_alpha 90.00
_cell_angle_beta 90.00
_cell_angle_gamma 90.00
_space_group_name_H-M_alt 'P 4/m m m'
_space_group_IT_number 123
_space_group_name_Hall '-P 4 2'
loop_
_atom_site_label
_atom_site_type_symbol
_atom_site_fract_x
_atom_site_fract_y
_atom_site_fract_z
Tc1 Tc 0.000 0.000 0.000
Sn1 Sn 0.500 0.500 0.000
Ru1 Ru 0.000 0.500 0.500
C1 C 0.000 0.000 0.500
```